[1]
Below is a relaxed ScGaBr crystal, with properties calculated at the PBE-GGA level.

SG   No. 12
ΔE_f (raw)   -984.5 meV/atom
Theoretical density   4.15 g/cm3
DOS at the Fermi energy   1.9 states/eV/f.u.
Energy   -4.662 eV per atom

Unit cell a=12.364 b=3.858 c=6.636 alpha=90.00 beta=100.50 gamma=90.00
Fractional coordinates of all 12 atoms:
Sc 0.303 0.000 0.266
Sc 0.697 0.000 0.734
Sc 0.697 0.500 0.234
Sc 0.303 0.500 0.766
Br 0.165 0.000 0.885
Br 0.165 0.500 0.385
Br 0.835 0.500 0.615
Br 0.835 0.000 0.115
Ga 0.450 0.000 0.650
Ga 0.450 0.500 0.150
Ga 0.550 0.500 0.850
Ga 0.550 0.000 0.350

[2]
Below is a relaxed CrHgAu crystal, with properties calculated at the PBE-GGA level.

SG   No. 156
Energy relative to the elements   317 meV/atom
Theoretical density   13.06 g/cm3
DOS at the Fermi energy   1.1 states/eV/f.u.
Energy   -4.084 eV per atom

Unit cell a=4.684 b=4.684 c=3.008 alpha=90.00 beta=90.00 gamma=120.00
Site moments in Bohr magnetons follow the coordinates.
Fractional coordinates of all 3 atoms:
Au 0.000 0.000 0.962  0.04
Hg 0.667 0.333 0.711  0.00
Cr 0.333 0.667 0.327  3.78